GdTmCoAu after structural relaxation, computed with GGA-PBE.

Summary:
Space group: F-43m (216)
DFT formation energy in meV/atom: -436

The structure in POSCAR format:
```
GdTmCoAu
1.0
0.000 3.477 3.477
3.477 0.000 3.477
3.477 3.477 0.000
Gd Tm Co Au
1 1 1 1
Direct
0.000 0.000 0.000
0.500 0.500 0.500
0.750 0.750 0.750
0.250 0.250 0.250
```